First-principles (PBE+U) data for crystalline Al2V2O7 at its relaxed geometry, as listed in the Alexandria database.

Cell: 6.7356 6.7356 6.7356 Å, 60.00 60.00 60.00°
Sites, in units of the cell vectors:
Al 0.0000 0.0000 0.0000
Al 0.0000 0.0000 0.5000
Al 0.0000 0.5000 0.0000
Al 0.5000 0.0000 0.0000
V 0.0000 0.5000 0.5000
V 0.5000 0.0000 0.5000
V 0.5000 0.5000 0.0000
V 0.5000 0.5000 0.5000
O 0.1250 0.1250 0.1250
O 0.1521 0.1521 0.5979
O 0.1521 0.5979 0.1521
O 0.1521 0.5979 0.5979
O 0.4021 0.4021 0.8479
O 0.4021 0.8479 0.4021
O 0.4021 0.8479 0.8479
O 0.5979 0.1521 0.1521
O 0.5979 0.1521 0.5979
O 0.5979 0.5979 0.1521
O 0.8479 0.4021 0.4021
O 0.8479 0.4021 0.8479
O 0.8479 0.8479 0.4021
O 0.8750 0.8750 0.8750

Electronic total energy = -0.2655 Ha/atom